Entry 1:
A plane-wave DFT calculation with GGA-PBEsol was carried out for In9Ni13 after structural relaxation.

Properties
As for the space group: C2/m, No. 12. As for the formation energy: -0.15 eV/atom.

abc: 6.634 6.634 8.401
angles: 108.05 108.00 102.50
Atoms (fractional coordinates):
In (0.500, 0.000, 0.500)
In (0.711, 0.455, 0.166)
In (0.289, 0.545, 0.834)
In (0.175, 0.942, 0.117)
In (0.825, 0.058, 0.883)
In (0.171, 0.941, 0.692)
In (0.249, 0.479, 0.308)
In (0.829, 0.059, 0.308)
In (0.751, 0.521, 0.692)
Ni (0.000, 0.500, 0.500)
Ni (0.500, 0.000, 0.000)
Ni (0.000, 0.500, 0.000)
Ni (0.265, 0.265, 0.000)
Ni (0.735, 0.735, 0.000)
Ni (0.260, 0.260, 0.520)
Ni (0.740, 0.740, 0.480)
Ni (0.454, 0.722, 0.177)
Ni (0.546, 0.278, 0.823)
Ni (0.063, 0.796, 0.342)
Ni (0.454, 0.721, 0.658)
Ni (0.937, 0.204, 0.658)
Ni (0.546, 0.279, 0.342)

---

Entry 2:
A plane-wave DFT calculation with GGA-PBEsol was carried out for In3Ni2 after structural relaxation.

Properties
As for the space group: P-3m1, No. 164. As for the formation energy: -0.21 eV/atom.

abc: 4.354 4.354 5.266
angles: 90.00 90.00 120.00
Atoms (fractional coordinates):
Ni (0.333, 0.667, 0.859)
Ni (0.667, 0.333, 0.141)
In (0.000, 0.000, 0.000)
In (0.333, 0.667, 0.354)
In (0.667, 0.333, 0.646)

---

Entry 3:
A plane-wave DFT calculation with GGA-PBEsol was carried out for InNi2SbO6 after structural relaxation.

Properties
As for the space group: R3, No. 146. Its raw formation energy is -1.14 eV per atom.

abc: 5.221 5.221 5.534
angles: 61.85 61.85 60.00
Each line ends with the local moment (μB).
Atoms (fractional coordinates):
In (0.206, 0.206, 0.382)  0.00
Ni (0.997, 0.997, 0.008)  1.56
Ni (0.492, 0.492, 0.523)  1.53
Sb (0.697, 0.697, 0.909)  0.00
O (0.408, 0.091, 0.716)  0.12
O (0.785, 0.408, 0.716)  0.12
O (0.091, 0.785, 0.716)  0.12
O (0.619, 0.882, 0.200)  0.14
O (0.299, 0.619, 0.200)  0.14
O (0.882, 0.299, 0.200)  0.14

---

Entry 4:
A plane-wave DFT calculation with GGA-PBEsol was carried out for Sr3InNiO6 after structural relaxation.

Properties
As for the distance to the lowest polymorph of the same formula: 0.0 meV per atom. As for the space group: P2_1/c, No. 14. Its raw formation energy is -2.14 eV per atom.

abc: 6.578 9.330 9.570
angles: 90.00 90.00 93.10
Each line ends with the local moment (μB).
Atoms (fractional coordinates):
Sr (0.616, 0.058, 0.686)  0.01
Sr (0.623, 0.572, 0.186)  0.00
Sr (0.884, 0.942, 0.186)  0.01
Sr (0.877, 0.428, 0.686)  0.00
Sr (0.259, 0.255, 0.129)  0.01
Sr (0.241, 0.745, 0.629)  0.01
Sr (0.116, 0.058, 0.814)  0.01
Sr (0.123, 0.572, 0.314)  0.00
Sr (0.741, 0.745, 0.871)  0.01
Sr (0.759, 0.255, 0.371)  0.01
Sr (0.384, 0.942, 0.314)  0.01
Sr (0.377, 0.428, 0.814)  0.00
In (0.245, 0.752, 0.998)  -0.01
In (0.255, 0.248, 0.498)  -0.01
In (0.755, 0.248, 0.002)  -0.01
In (0.745, 0.752, 0.502)  -0.01
Ni (0.500, 0.500, 0.500)  0.69
Ni (0.000, 0.500, 0.000)  0.69
Ni (0.500, 0.000, 0.000)  0.69
Ni (0.000, 0.000, 0.500)  0.69
O (0.539, 0.821, 0.096)  0.01
O (0.542, 0.301, 0.601)  0.12
O (0.223, 0.982, 0.063)  0.00
O (0.217, 0.473, 0.563)  0.02
O (0.400, 0.867, 0.829)  0.12
O (0.419, 0.390, 0.340)  -0.01
O (0.042, 0.301, 0.899)  0.12
O (0.039, 0.821, 0.404)  0.01
O (0.900, 0.867, 0.671)  0.12
O (0.919, 0.390, 0.160)  -0.01
O (0.723, 0.982, 0.437)  0.00
O (0.717, 0.473, 0.937)  0.02
O (0.461, 0.179, 0.904)  0.01
O (0.458, 0.699, 0.399)  0.12
O (0.777, 0.018, 0.937)  0.00
O (0.783, 0.527, 0.437)  0.02
O (0.600, 0.133, 0.171)  0.12
O (0.581, 0.610, 0.660)  -0.01
O (0.958, 0.699, 0.101)  0.12
O (0.961, 0.179, 0.596)  0.01
O (0.100, 0.133, 0.329)  0.12
O (0.081, 0.610, 0.840)  -0.01
O (0.277, 0.018, 0.563)  0.00
O (0.283, 0.527, 0.063)  0.02

---

Short version: E = -5.012; -4.460; -6.278; -6.334 eV per atom, in the order given.
Short version: magnetization = 0.00; 0.00; 4.00; 1.00 μB/f.u., in the order given.